No. 1
# MnAgPb2 PBE-GGA relaxed
data_MnAgPb2
_space_group_name_H-M_alt 'R -3 m'
_space_group_IT_number 166
_space_group_name_Hall '-R 3 2"'
_cell_length_a 3.3944
_cell_length_b 3.3944
_cell_length_c 28.1005
_cell_angle_alpha 90.00
_cell_angle_beta 90.00
_cell_angle_gamma 120.00
loop_
_atom_site_label
_atom_site_type_symbol
_atom_site_fract_x
_atom_site_fract_y
_atom_site_fract_z
Mn1 Mn 0.0000 0.0000 0.0000
Ag1 Ag 0.0000 0.0000 0.5000
Pb1 Pb 0.0000 0.0000 0.2531
# Formation enthalpy at 0 K ... 350 meV/atom
# E ... -54.11 eV for the cell shown
# Distance to the lowest polymorph of the same formula ... 2.53 kcal/mol of atoms
# Crystal system ... trigonal
# D(E_F) ... 8.9 states/eV per cell

No. 2
# MnAgPb2 PBE-GGA relaxed
data_MnAgPb2
_space_group_name_H-M_alt 'I -4 m 2'
_space_group_IT_number 119
_space_group_name_Hall 'I -4 -2'
_cell_length_a 4.308
_cell_length_b 4.308
_cell_length_c 10.022
_cell_angle_alpha 90.00
_cell_angle_beta 90.00
_cell_angle_gamma 90.00
loop_
_atom_site_label
_atom_site_type_symbol
_atom_site_fract_x
_atom_site_fract_y
_atom_site_fract_z
Mn1 Mn 0.000 0.000 0.000
Ag1 Ag 0.000 0.500 0.250
Pb1 Pb 0.000 0.000 0.500
Pb2 Pb 0.000 0.500 0.750
# Formation enthalpy at 0 K ... 332 meV/atom
# E ... -36.22 eV for the cell shown
# Distance to the lowest polymorph of the same formula ... 2.10 kcal/mol of atoms
# Crystal system ... tetragonal
# D(E_F) ... 4.6 states/eV per cell

No. 3
# MnAg2Pb PBE-GGA relaxed
data_MnAg2Pb
_space_group_name_H-M_alt 'P m m 2'
_space_group_IT_number 25
_space_group_name_Hall 'P 2 -2'
_cell_length_a 3.254
_cell_length_b 4.647
_cell_length_c 5.269
_cell_angle_alpha 90.00
_cell_angle_beta 90.00
_cell_angle_gamma 90.00
loop_
_atom_site_label
_atom_site_type_symbol
_atom_site_fract_x
_atom_site_fract_y
_atom_site_fract_z
Mn1 Mn 0.000 0.000 0.000
Ag1 Ag 0.000 0.500 0.343
Ag2 Ag 0.500 0.000 0.464
Pb1 Pb 0.500 0.500 0.850
# Formation enthalpy at 0 K ... 274 meV/atom
# E ... -17.48 eV for the cell shown
# Crystal system ... orthorhombic
# D(E_F) ... 1.7 states/eV per cell

No. 4
# MnAgPb2 PBE-GGA relaxed
data_MnAgPb2
_space_group_name_H-M_alt 'P 1 m 1'
_space_group_IT_number 6
_space_group_name_Hall 'P -2y'
_cell_length_a 3.596
_cell_length_b 4.641
_cell_length_c 5.849
_cell_angle_alpha 90.00
_cell_angle_beta 107.41
_cell_angle_gamma 90.00
loop_
_atom_site_label
_atom_site_type_symbol
_atom_site_fract_x
_atom_site_fract_y
_atom_site_fract_z
Mn1 Mn 0.000 0.000 0.000
Ag1 Ag 0.844 0.500 0.689
Pb1 Pb 0.272 0.000 0.539
Pb2 Pb 0.561 0.500 0.130
# Formation enthalpy at 0 K ... 257 meV/atom
# E ... -18.41 eV for the cell shown
# Distance to the lowest polymorph of the same formula ... 0.38 kcal/mol of atoms
# Crystal system ... monoclinic
# D(E_F) ... 2.1 states/eV per cell

No. 5
# MnAgPb2 PBE-GGA relaxed
data_MnAgPb2
_space_group_name_H-M_alt 'C 1 2/m 1'
_space_group_IT_number 12
_space_group_name_Hall '-C 2y'
_cell_length_a 9.299
_cell_length_b 3.451
_cell_length_c 6.030
_cell_angle_alpha 90.00
_cell_angle_beta 101.58
_cell_angle_gamma 90.00
loop_
_atom_site_label
_atom_site_type_symbol
_atom_site_fract_x
_atom_site_fract_y
_atom_site_fract_z
Mn1 Mn 0.000 0.000 0.000
Ag1 Ag 0.000 0.500 0.500
Pb1 Pb 0.248 0.500 0.241
# Formation enthalpy at 0 K ... 353 meV/atom
# E ... -36.05 eV for the cell shown
# Distance to the lowest polymorph of the same formula ... 2.60 kcal/mol of atoms
# Crystal system ... monoclinic
# D(E_F) ... 4.6 states/eV per cell

No. 6
# MnAg2Pb4 PBE-GGA relaxed
data_MnAg2Pb4
_space_group_name_H-M_alt 'I 4/m m m'
_space_group_IT_number 139
_space_group_name_Hall '-I 4 2'
_cell_length_a 5.319
_cell_length_b 5.319
_cell_length_c 14.028
_cell_angle_alpha 90.00
_cell_angle_beta 90.00
_cell_angle_gamma 90.00
loop_
_atom_site_label
_atom_site_type_symbol
_atom_site_fract_x
_atom_site_fract_y
_atom_site_fract_z
Mn1 Mn 0.000 0.000 0.000
Ag1 Ag 0.000 0.000 0.388
Pb1 Pb 0.000 0.000 0.189
Pb2 Pb 0.000 0.500 0.000
# Formation enthalpy at 0 K ... 359 meV/atom
# E ... -54.38 eV for the cell shown
# Crystal system ... tetragonal
# D(E_F) ... 5.4 states/eV per cell

No. 7
# MnAg2Pb PBE-GGA relaxed
data_MnAg2Pb
_space_group_name_H-M_alt 'I 4/m m m'
_space_group_IT_number 139
_space_group_name_Hall '-I 4 2'
_cell_length_a 4.218
_cell_length_b 4.218
_cell_length_c 8.890
_cell_angle_alpha 90.00
_cell_angle_beta 90.00
_cell_angle_gamma 90.00
loop_
_atom_site_label
_atom_site_type_symbol
_atom_site_fract_x
_atom_site_fract_y
_atom_site_fract_z
Mn1 Mn 0.000 0.000 0.000
Ag1 Ag 0.000 0.500 0.250
Pb1 Pb 0.000 0.000 0.500
# Formation enthalpy at 0 K ... 262 meV/atom
# E ... -35.06 eV for the cell shown
# Crystal system ... tetragonal
# D(E_F) ... 3.5 states/eV per cell

No. 8
# Mn3AgPb2S8 PBE-GGA relaxed
data_Mn3AgPb2S8
_space_group_name_H-M_alt 'R 3 m'
_space_group_IT_number 160
_space_group_name_Hall 'R 3 -2"'
_cell_length_a 7.2737
_cell_length_b 7.2737
_cell_length_c 20.0657
_cell_angle_alpha 90.00
_cell_angle_beta 90.00
_cell_angle_gamma 120.00
loop_
_atom_site_label
_atom_site_type_symbol
_atom_site_fract_x
_atom_site_fract_y
_atom_site_fract_z
Mn1 Mn 0.1701 0.3402 0.0000
Ag1 Ag 0.0000 0.0000 0.5321
Pb1 Pb 0.0000 0.0000 0.1730
Pb2 Pb 0.0000 0.0000 0.7963
S1 S 0.0000 0.0000 0.4036
S2 S 0.0000 0.0000 0.9418
S3 S 0.0145 0.5072 0.9376
S4 S 0.1825 0.3650 0.7297
# E ... -228.81 eV for the cell shown
# Formation energy (no corrections) ... -0.39 eV/atom
# Crystal system ... trigonal
# D(E_F) ... 16.7 states/eV per cell

No. 9
# Mn2AgPbS PBE-GGA relaxed
data_Mn2AgPbS
_space_group_name_H-M_alt 'P 4/m m m'
_space_group_IT_number 123
_space_group_name_Hall '-P 4 2'
_cell_length_a 4.484
_cell_length_b 4.484
_cell_length_c 4.983
_cell_angle_alpha 90.00
_cell_angle_beta 90.00
_cell_angle_gamma 90.00
loop_
_atom_site_label
_atom_site_type_symbol
_atom_site_fract_x
_atom_site_fract_y
_atom_site_fract_z
Mn1 Mn 0.000 0.500 0.000
Ag1 Ag 0.000 0.000 0.500
Pb1 Pb 0.500 0.500 0.500
S1 S 0.000 0.000 0.000
# E ... -27.77 eV for the cell shown
# Formation energy (no corrections) ... 0.25 eV/atom
# Crystal system ... tetragonal
# D(E_F) ... 3.3 states/eV per cell

No. 10
# MnVAgPb2 PBE-GGA relaxed
data_MnVAgPb2
_space_group_name_H-M_alt 'P 4/m m m'
_space_group_IT_number 123
_space_group_name_Hall '-P 4 2'
_cell_length_a 5.326
_cell_length_b 5.326
_cell_length_c 4.419
_cell_angle_alpha 90.00
_cell_angle_beta 90.00
_cell_angle_gamma 90.00
loop_
_atom_site_label
_atom_site_type_symbol
_atom_site_fract_x
_atom_site_fract_y
_atom_site_fract_z
Mn1 Mn 0.000 0.000 0.000
V1 V 0.000 0.000 0.500
Ag1 Ag 0.500 0.500 0.000
Pb1 Pb 0.000 0.500 0.500
# Formation enthalpy at 0 K ... 726 meV/atom
# E ... -24.93 eV for the cell shown
# Crystal system ... tetragonal
# D(E_F) ... 2.9 states/eV per cell

No. 11
# Y2MnAgPb PBE-GGA relaxed
data_Y2MnAgPb
_space_group_name_H-M_alt 'P 4/m m m'
_space_group_IT_number 123
_space_group_name_Hall '-P 4 2'
_cell_length_a 5.174
_cell_length_b 5.174
_cell_length_c 4.945
_cell_angle_alpha 90.00
_cell_angle_beta 90.00
_cell_angle_gamma 90.00
loop_
_atom_site_label
_atom_site_type_symbol
_atom_site_fract_x
_atom_site_fract_y
_atom_site_fract_z
Y1 Y 0.000 0.500 0.000
Mn1 Mn 0.000 0.000 0.000
Ag1 Ag 0.000 0.000 0.500
Pb1 Pb 0.500 0.500 0.500
# Formation enthalpy at 0 K ... 232 meV/atom
# E ... -27.49 eV for the cell shown
# Crystal system ... tetragonal
# D(E_F) ... 3.4 states/eV per cell

No. 12
# MnZnAg2Pb PBE-GGA relaxed
data_MnZnAg2Pb
_space_group_name_H-M_alt 'P 4/m m m'
_space_group_IT_number 123
_space_group_name_Hall '-P 4 2'
_cell_length_a 5.362
_cell_length_b 5.362
_cell_length_c 5.201
_cell_angle_alpha 90.00
_cell_angle_beta 90.00
_cell_angle_gamma 90.00
loop_
_atom_site_label
_atom_site_type_symbol
_atom_site_fract_x
_atom_site_fract_y
_atom_site_fract_z
Mn1 Mn 0.000 0.000 0.000
Zn1 Zn 0.500 0.500 0.000
Ag1 Ag 0.000 0.500 0.500
Pb1 Pb 0.500 0.500 0.500
# Formation enthalpy at 0 K ... 992 meV/atom
# E ... -14.89 eV for the cell shown
# Crystal system ... tetragonal
# D(E_F) ... 2.0 states/eV per cell

No. 13
# MnAg3Pd PBE-GGA relaxed
data_MnAg3Pd
_space_group_name_H-M_alt 'P m -3 m'
_space_group_IT_number 221
_space_group_name_Hall '-P 4 2 3'
_cell_length_a 5.020
_cell_length_b 5.020
_cell_length_c 5.020
_cell_angle_alpha 90.00
_cell_angle_beta 90.00
_cell_angle_gamma 90.00
loop_
_atom_site_label
_atom_site_type_symbol
_atom_site_fract_x
_atom_site_fract_y
_atom_site_fract_z
Mn1 Mn 0.000 0.000 0.000
Ag1 Ag 0.000 0.500 0.500
Pd1 Pd 0.500 0.500 0.500
# Formation enthalpy at 0 K ... 951 meV/atom
# E ... -18.16 eV for the cell shown
# Distance to the lowest polymorph of the same formula ... 0.00 kcal/mol of atoms
# Crystal system ... cubic
# D(E_F) ... 2.2 states/eV per cell